# 1
Computed, not measured: a relaxed SmTm4C2S crystal at the PBE level of DFT.

Summary:
The volume comes out at 172.8 Å³ per cell. The density comes out at 8.48 g/cm³.

a b c (Å): 3.596 3.596 15.429
angles (deg): 90.00 90.00 120.00
Positions (direct):
C 0.667 0.333 0.293
C 0.667 0.333 0.707
S 0.000 0.000 0.500
Sm 0.333 0.667 0.000
Tm 0.000 0.000 0.210
Tm 0.333 0.667 0.380
Tm 0.333 0.667 0.620
Tm 0.000 0.000 0.790

---

# 2
Computed, not measured: a relaxed HoSiNi crystal at the PBE level of DFT.

Summary:
The volume comes out at 152.1 Å³ per cell. The density comes out at 8.24 g/cm³.

a b c (Å): 6.571 6.571 4.067
angles (deg): 90.00 90.00 120.00
Positions (direct):
Ho 0.573 0.000 0.000
Ho 0.427 0.427 0.000
Ho 0.000 0.573 0.000
Ni 0.232 0.000 0.500
Ni 0.000 0.232 0.500
Ni 0.768 0.768 0.500
Si 0.000 0.000 0.000
Si 0.667 0.333 0.500
Si 0.333 0.667 0.500

---

# 3
Computed, not measured: a relaxed NdSn2PtAu crystal at the PBE level of DFT.

Summary:
The volume comes out at 233.0 Å³ per cell. The density comes out at 11.03 g/cm³.

a b c (Å): 4.612 4.612 10.954
angles (deg): 90.00 90.00 90.00
Positions (direct):
Au 0.000 0.000 0.000
Au 0.500 0.500 0.000
Nd 0.000 0.500 0.251
Nd 0.500 0.000 0.749
Pt 0.500 0.000 0.376
Pt 0.000 0.500 0.624
Sn 0.500 0.000 0.139
Sn 0.000 0.000 0.500
Sn 0.500 0.500 0.500
Sn 0.000 0.500 0.861

---

# 4
Computed, not measured: a relaxed Zr2NbSi crystal at the PBE level of DFT.

Summary:
The volume comes out at 74.9 Å³ per cell. The density comes out at 6.73 g/cm³.

a b c (Å): 4.731 4.731 4.731
angles (deg): 60.00 60.00 60.00
Positions (direct):
Nb 0.250 0.250 0.250
Si 0.500 0.500 0.500
Zr 0.000 0.000 0.000
Zr 0.750 0.750 0.750

---

# 5
Computed, not measured: a relaxed Li2Zn2InSnPd2 crystal at the PBE level of DFT.

Summary:
The volume comes out at 129.0 Å³ per cell. The density comes out at 7.61 g/cm³.

a b c (Å): 4.507 4.507 6.351
angles (deg): 90.00 90.00 90.00
Positions (direct):
In 0.000 0.000 0.000
Li 0.500 0.000 0.249
Li 0.000 0.500 0.751
Pd 0.000 0.500 0.254
Pd 0.500 0.000 0.746
Sn 0.500 0.500 0.500
Zn 0.500 0.500 0.000
Zn 0.000 0.000 0.500

---

# 6
Computed, not measured: a relaxed LaSbIr crystal at the PBE level of DFT.

Summary:
The volume comes out at 282.3 Å³ per cell. The density comes out at 10.66 g/cm³.

a b c (Å): 7.548 4.657 8.031
angles (deg): 90.00 90.00 90.00
Positions (direct):
Ir 0.297 0.750 0.092
Ir 0.797 0.750 0.408
Ir 0.203 0.250 0.592
Ir 0.703 0.250 0.908
La 0.983 0.250 0.192
La 0.483 0.250 0.308
La 0.517 0.750 0.692
La 0.017 0.750 0.808
Sb 0.674 0.750 0.085
Sb 0.174 0.750 0.415
Sb 0.826 0.250 0.585
Sb 0.326 0.250 0.915

---

# 7
Computed, not measured: a relaxed CsTe2PdAuSe crystal at the PBE level of DFT.

Summary:
The volume comes out at 386.5 Å³ per cell. The density comes out at 6.62 g/cm³.

a b c (Å): 8.471 8.471 11.256
angles (deg): 90.00 90.00 151.41
Positions (direct):
Au 0.934 0.066 0.250
Au 0.066 0.934 0.750
Cs 0.244 0.756 0.250
Cs 0.756 0.244 0.750
Pd 0.500 0.500 0.000
Pd 0.500 0.500 0.500
Se 0.537 0.463 0.250
Se 0.463 0.537 0.750
Te 0.896 0.104 0.020
Te 0.896 0.104 0.480
Te 0.104 0.896 0.520
Te 0.104 0.896 0.980

---

# 8
Computed, not measured: a relaxed Pr2YSn3PdPt2 crystal at the PBE level of DFT.

Summary:
The volume comes out at 208.5 Å³ per cell. The density comes out at 9.75 g/cm³.

a b c (Å): 4.119 7.639 7.639
angles (deg): 119.85 90.00 90.00
Positions (direct):
Pd 0.000 0.995 0.995
Pr 0.000 0.412 0.001
Pr 0.000 0.001 0.412
Pt 0.500 0.664 0.340
Pt 0.500 0.340 0.664
Sn 0.500 0.255 0.255
Sn 0.500 0.997 0.746
Sn 0.500 0.746 0.997
Y 0.000 0.591 0.591

---

| no. | total energy (eV/atom) |
| --- | --- |
| 1 | -6.40 |
| 2 | -5.90 |
| 3 | -5.15 |
| 4 | -8.27 |
| 5 | -3.39 |
| 6 | -6.86 |
| 7 | -3.51 |
| 8 | -6.05 |